# LiNdFe4O12

LiNdFe4O12 after structural relaxation (GGA+U, the Alexandria database).

Structure (POSCAR):
```
LiNdFe4O12
1.0
-1.6159 2.7413 -4.3095
-3.6386 -3.7899 -1.0465
-5.1187 3.7294 4.2916
O Fe Li Nd
12 4 1 1
Cartesian
-3.3673 3.2354 -0.0090
-4.4766 -1.2326 -0.7250
-2.6078 0.7139 -0.1875
-5.3066 0.1754 -2.9384
-4.3787 -0.0303 1.6226
-6.9355 0.5589 1.3366
-0.8080 1.3707 -2.1548
-5.8966 3.9134 -0.3394
-3.4378 2.1219 -2.4009
-5.0667 2.5054 1.8740
-7.7654 1.9669 -0.8768
-1.8193 -1.8950 -0.5232
-2.0578 2.2813 -1.1069
-4.6768 4.1895 1.0890
-5.6882 0.9238 2.7205
-3.0692 -0.9844 0.5247
-2.6273 -0.5243 -2.6780
-2.5594 1.8647 2.1458
```

Values from the calculation:
Energy   -5.973 eV per atom